Entry 1:
# TaFeS2Cl | the Alexandria database | GGA-PBE | relaxed
data_TaFeS2Cl
_space_group_name_H-M_alt 'P 4/m m m'
_space_group_IT_number 123
_space_group_name_Hall '-P 4 2'
_cell_length_a 4.8036
_cell_length_b 4.8036
_cell_length_c 4.7854
_cell_angle_alpha 90.00
_cell_angle_beta 90.00
_cell_angle_gamma 90.00
loop_
_atom_site_label
_atom_site_type_symbol
_atom_site_fract_x
_atom_site_fract_y
_atom_site_fract_z
Ta1 Ta 0.0000 0.0000 0.0000
Fe1 Fe 0.5000 0.5000 0.5000
S1 S 0.0000 0.5000 0.0000
Cl1 Cl 0.0000 0.0000 0.5000
# Fermi-level density of states in states/eV/cell: 7.90
# Formation energy without anion corrections in eV/atom: 0.13
# Magnetization in μB/cell: 3.64


Entry 2:
# FeTcS2Cl | the Alexandria database | GGA-PBE | relaxed
data_FeTcS2Cl
_space_group_name_H-M_alt 'P 4/m m m'
_space_group_IT_number 123
_space_group_name_Hall '-P 4 2'
_cell_length_a 4.5696
_cell_length_b 4.5696
_cell_length_c 4.9578
_cell_angle_alpha 90.00
_cell_angle_beta 90.00
_cell_angle_gamma 90.00
loop_
_atom_site_label
_atom_site_type_symbol
_atom_site_fract_x
_atom_site_fract_y
_atom_site_fract_z
Fe1 Fe 0.0000 0.0000 0.0000
Tc1 Tc 0.5000 0.5000 0.5000
S1 S 0.0000 0.5000 0.5000
Cl1 Cl 0.5000 0.5000 0.0000
# Fermi-level density of states in states/eV/cell: 9.02
# Formation energy without anion corrections in eV/atom: 0.54
# Magnetization in μB/cell: 3.54


Which value of Fermi-level density of states does entry 2 give? 9.02 states/eV/cell


Which value of magnetization does entry 2 give? 3.54 μB/cell